{"formula": "Cd2CoAg", "functional": "PBEsol", "state": "optimized geometry", "cell": [[2.920, 0.000, 0.000], [0.000, 2.920, 0.000], [0.000, 0.000, 7.555]], "species": ["Cd", "Cd", "Co", "Ag"], "fractional_positions": [[0.000, 0.000, 0.225], [0.000, 0.000, 0.775], [0.500, 0.500, 0.000], [0.500, 0.500, 0.500]], "spacegroup": "No. 123", "volume_a3_per_fu": 64.4, "delta_e_f_kcal_per_mol_atoms": 3.60, "rho_g_cm3": 10.09}